[1]
Compound: VFeCu2O4
Source: Alexandria via LeMat-Bulk
Functional: GGA-PBEsol
Structure: relaxed

Unit cell a=2.7465 b=2.7465 c=11.9813 alpha=83.42 beta=83.42 gamma=60.00
Each line ends with the local moment (μB).
Positions (direct):
V1 0.5000 0.5000 0.5000  0.15
O1 0.3039 0.3039 0.0882  0.00
Fe1 0.0000 0.0000 0.0000  1.04
Cu1 0.2520 0.2520 0.2441  0.00
O2 0.1999 0.1999 0.4004  0.00
O3 0.6961 0.6961 0.9118  0.00
Cu2 0.7480 0.7480 0.7559  0.00
O4 0.8001 0.8001 0.5996  0.00

Space group: R-3m (166)
E_form (uncorrected) in kJ/mol of formula units: -983
E in eV per atom: -7.31

=====

[2]
Compound: VFe2Cu3O6
Source: Alexandria via LeMat-Bulk
Functional: GGA-PBEsol
Structure: relaxed

Unit cell a=2.8032 b=2.8032 c=18.3262 alpha=90.00 beta=90.00 gamma=120.00
Each line ends with the local moment (μB).
Positions (direct):
Fe1 0.6667 0.3333 0.2690  0.48
O1 0.3333 0.6667 0.9385  0.01
O2 0.6667 0.3333 0.4455  0.29
O3 0.0000 0.0000 0.3070  0.06
O4 0.6667 0.3333 0.0615  0.01
Cu1 0.3333 0.6667 0.1641  0.02
V1 0.0000 0.0000 0.0000  0.69
Fe2 0.3333 0.6667 0.7310  0.48
O5 0.3333 0.6667 0.5545  0.29
Cu2 0.6667 0.3333 0.8359  0.02
Cu3 0.0000 0.0000 0.5000  0.43
O6 0.0000 0.0000 0.6930  0.06

Space group: P-3m1 (164)
E_form (uncorrected) in kJ/mol of formula units: -870
E in eV per atom: -6.76

=====

[3]
Compound: V4FeCuO12
Source: Alexandria via LeMat-Bulk
Functional: GGA-PBEsol
Structure: relaxed

Unit cell a=5.7947 b=6.6000 c=6.6000 alpha=96.20 beta=104.83 gamma=75.17
Each line ends with the local moment (μB).
Positions (direct):
O1 0.3026 0.6621 0.3738  0.01
O2 0.8715 0.9687 0.1843  0.07
V1 0.0003 0.3846 0.7990  0.06
V2 0.4899 0.2100 0.6098  0.10
O3 0.8060 0.6239 0.3551  0.01
V3 0.9997 0.7990 0.3846  0.06
O4 0.1285 0.1843 0.9687  0.07
O5 0.4747 0.0907 0.3706  0.08
V4 0.5101 0.6098 0.2100  0.10
Cu1 0.0000 0.9120 0.9120  0.25
O6 0.9929 0.6159 0.9236  0.03
O7 0.6974 0.3738 0.6621  0.01
O8 0.1940 0.3551 0.6239  0.01
O9 0.4161 0.7995 0.0356  0.06
O10 0.0071 0.9236 0.6159  0.03
O11 0.5253 0.3706 0.0907  0.08
O12 0.5839 0.0356 0.7995  0.06
Fe1 0.5000 0.0822 0.0822  3.77

Space group: C2 (5)
E_form (uncorrected) in kJ/mol of formula units: -3440
E in eV per atom: -8.36

=====

[4]
Compound: ZnFe4CuO8
Source: Alexandria via LeMat-Bulk
Functional: GGA-PBEsol
Structure: relaxed

Unit cell a=5.8215 b=5.8215 c=5.8215 alpha=58.32 beta=58.32 gamma=58.32
Each line ends with the local moment (μB).
Positions (direct):
Cu1 0.3736 0.3736 0.3736  0.57
O1 0.6169 0.6169 0.6169  0.05
Fe1 0.8715 0.3775 0.3775  1.25
O2 0.6230 0.1573 0.6230  0.16
O3 0.1260 0.1261 0.5858  0.11
O4 0.1573 0.6230 0.6230  0.16
Fe2 0.3775 0.3775 0.8715  1.25
O5 0.6230 0.6230 0.1573  0.16
Fe3 0.7527 0.7527 0.7527  3.45
Fe4 0.3775 0.8715 0.3775  1.25
O6 0.1385 0.1385 0.1385  0.00
Zn1 0.0007 0.0007 0.0007  0.01
O7 0.1260 0.5858 0.1260  0.11
O8 0.5858 0.1261 0.1260  0.11

Space group: R3m (160)
E_form (uncorrected) in kJ/mol of formula units: -1534
E in eV per atom: -7.12

=====

[5]
Compound: Fe2CuOs
Source: Alexandria via LeMat-Bulk
Functional: GGA-PBEsol
Structure: relaxed

Unit cell a=2.5363 b=2.5363 c=8.2551 alpha=90.00 beta=90.00 gamma=112.65
Each line ends with the local moment (μB).
Positions (direct):
Os1 0.0000 0.0000 0.5065  0.05
Fe1 0.5000 0.5000 0.7612  2.41
Cu1 0.5000 0.5000 0.2388  0.05
Fe2 0.0000 0.0000 0.9936  2.49

ΔE_f in meV/atom: 298
Space group: Cmm2 (35)
Energy above the lowest structure with this stoichiometry in meV per atom: 107.3
E in eV per atom: -8.32

=====

[6]
Compound: Fe2CuOs
Source: Alexandria via LeMat-Bulk
Functional: GGA-PBEsol
Structure: relaxed

Unit cell a=4.0582 b=4.0582 c=4.0582 alpha=60.00 beta=60.00 gamma=60.00
Each line ends with the local moment (μB).
Positions (direct):
Os1 0.5000 0.5000 0.5000  0.18
Fe1 0.7500 0.7500 0.7500  1.84
Fe2 0.2500 0.2500 0.2500  1.84
Cu1 0.0000 0.0000 0.0000  0.06

ΔE_f in meV/atom: 370
Space group: Fm-3m (225)
Energy above the lowest structure with this stoichiometry in meV per atom: 179.1
E in eV per atom: -8.25

=====

[7]
Compound: FeCu2Os
Source: Alexandria via LeMat-Bulk
Functional: GGA-PBEsol
Structure: relaxed

Unit cell a=2.5389 b=4.4325 c=4.5358 alpha=99.59 beta=106.25 gamma=90.00
Each line ends with the local moment (μB).
Positions (direct):
Cu1 0.7510 0.7545 0.5020  0.06
Cu2 0.2490 0.2455 0.4980  0.06
Fe1 0.5000 0.0000 0.0000  2.27
Os1 0.0000 0.5000 0.0000  0.16

ΔE_f in meV/atom: 257
Space group: C2/m (12)
E in eV per atom: -7.21

=====

[8]
Compound: Fe2CuOs
Source: Alexandria via LeMat-Bulk
Functional: GGA-PBEsol
Structure: relaxed

Unit cell a=2.5980 b=2.5980 c=6.9748 alpha=90.00 beta=90.00 gamma=90.00
Each line ends with the local moment (μB).
Positions (direct):
Fe1 0.0000 0.0000 0.2547  1.71
Fe2 0.0000 0.0000 0.7453  1.71
Os1 0.5000 0.5000 0.0000  -0.31
Cu1 0.5000 0.5000 0.5000  0.09

ΔE_f in meV/atom: 190
Space group: P4/mmm (123)
Energy above the lowest structure with this stoichiometry in meV per atom: 0.0
E in eV per atom: -8.43

=====

[9]
Compound: FeCu2P
Source: Alexandria via LeMat-Bulk
Functional: GGA-PBEsol
Structure: relaxed

Unit cell a=2.5948 b=4.4619 c=4.4619 alpha=116.68 beta=90.00 gamma=90.00
Each line ends with the local moment (μB).
Positions (direct):
Fe1 0.5000 0.0000 0.0000  2.17
Cu1 0.0000 0.5000 0.0000  0.04
Cu2 0.0000 0.0000 0.5000  0.04
P1 0.5000 0.5000 0.5000  0.00

ΔE_f in meV/atom: 122
Space group: Cmmm (65)
E in eV per atom: -5.73

=====

[10]
Compound: FeCuP
Source: Alexandria via LeMat-Bulk
Functional: GGA-PBEsol
Structure: relaxed

Unit cell a=2.9087 b=3.6756 c=3.6756 alpha=120.00 beta=90.00 gamma=90.00
Positions (direct):
Cu1 0.0128 0.0000 0.0000
Fe1 0.5164 0.6667 0.3333
P1 0.4708 0.3333 0.6667

ΔE_f in meV/atom: -140
Space group: P3m1 (156)
E in eV per atom: -6.50

=====

[11]
Compound: FeCu2P
Source: Alexandria via LeMat-Bulk
Functional: GGA-PBEsol
Structure: relaxed

Unit cell a=2.7800 b=2.7800 c=5.7610 alpha=90.00 beta=90.00 gamma=90.00
Positions (direct):
P1 0.5000 0.5000 0.7174
Fe1 0.0000 0.0000 0.5361
Cu1 0.5000 0.5000 0.2527
Cu2 0.0000 0.0000 0.9937

ΔE_f in meV/atom: -74
Space group: P4mm (99)
E in eV per atom: -5.93

=====

[12]
Compound: FeCuP4
Source: Alexandria via LeMat-Bulk
Functional: GGA-PBEsol
Structure: relaxed

Unit cell a=4.8637 b=4.8637 c=4.8637 alpha=60.00 beta=60.00 gamma=60.00
Each line ends with the local moment (μB).
Positions (direct):
Cu1 0.2500 0.2500 0.2500  0.03
P1 0.6256 0.1233 0.6256  0.03
P2 0.6256 0.6256 0.1233  0.03
Fe1 0.0000 0.0000 0.0000  2.81
P3 0.1233 0.6256 0.6256  0.03
P4 0.6256 0.6256 0.6256  0.03

ΔE_f in meV/atom: 708
Space group: F-43m (216)
E in eV per atom: -5.37

=====

- What is the E in the eighth record?
  -8.43 eV per atom

=====

- What is the formula in the fifth record?
  Fe2CuOs

=====

- E of number 4 (ZnFe4CuO8)?
  -7.12 eV per atom